No. 1
# LaAsCl2

An optimized crystal structure of LaAsCl2 (PBEsol, Alexandria via LeMat-Bulk).

Values from the calculation:
For the mass density, the calculation gives 4.58 g/cm³. The total energy is -20.20 eV per cell. The total moment comes out at 0.000 μB/cell.

abc: 4.4383 4.4293 5.3049
angles: 90.00 98.42 90.00
Space group Pm (No. 6)
Unique sites:
La (0.0000, 0.0000, 0.0000) (multiplicity 1)
As (0.5375, 0.5000, 0.1015) (multiplicity 1)
Cl (0.1971, 0.0000, 0.5175) (multiplicity 1)
Cl (0.7132, 0.5000, 0.7057) (multiplicity 1)

---

No. 2
# La2AsCl

An optimized crystal structure of La2AsCl (PBEsol, Alexandria via LeMat-Bulk).

Values from the calculation:
For the density of states at the Fermi level, the calculation gives 22.45 states/eV per cell. For the mass density, the calculation gives 6.80 g/cm³. The total energy is -80.78 eV per cell. The total moment comes out at 0.006 μB/cell.

abc: 7.2393 7.2393 7.2393
angles: 90.00 90.00 90.00
Space group F-43m (No. 216)
Unique sites:
La (0.0000, 0.0000, 0.0000) (multiplicity 4)
La (0.2500, 0.2500, 0.2500) (multiplicity 4)
As (0.0000, 0.0000, 0.5000) (multiplicity 4)
Cl (0.2500, 0.2500, 0.7500) (multiplicity 4)

---

No. 3
# La2AsCl

An optimized crystal structure of La2AsCl (PBEsol, Alexandria via LeMat-Bulk).

Values from the calculation:
For the density of states at the Fermi level, the calculation gives 2.02 states/eV per cell. For the mass density, the calculation gives 6.08 g/cm³. The total energy is -72.10 eV per cell. The total moment comes out at 0.000 μB/cell.

abc: 4.1577 4.1577 21.2290
angles: 90.00 90.00 120.00
Space group R3m (No. 160, hexagonal axes)
Unique sites:
La (0.0000, 0.0000, 0.0000) (multiplicity 3)
La (0.0000, 0.0000, 0.1739) (multiplicity 3)
As (0.0000, 0.0000, 0.4199) (multiplicity 3)
Cl (0.0000, 0.0000, 0.5887) (multiplicity 3)

---

No. 4
# Li2AsCl

An optimized crystal structure of Li2AsCl (PBEsol, Alexandria via LeMat-Bulk).

Values from the calculation:
For the density of states at the Fermi level, the calculation gives 0.66 states/eV per cell. For the mass density, the calculation gives 3.17 g/cm³. The total energy is -14.80 eV per cell. The total moment comes out at 0.000 μB/cell.

abc: 3.0120 3.0120 7.1660
angles: 90.00 90.00 90.00
Space group P4/mmm (No. 123)
Unique sites:
Li (0.0000, 0.0000, 0.2163) (multiplicity 2)
As (0.5000, 0.5000, 0.5000) (multiplicity 1)
Cl (0.5000, 0.5000, 0.0000) (multiplicity 1)

---

No. 5
# LiAsCl

An optimized crystal structure of LiAsCl (PBEsol, Alexandria via LeMat-Bulk).

Values from the calculation:
For the density of states at the Fermi level, the calculation gives 1.99 states/eV per cell. For the mass density, the calculation gives 3.38 g/cm³. The total energy is -9.56 eV per cell. The total moment comes out at 0.000 μB/cell.

abc: 4.7353 4.7353 2.9720
angles: 90.00 90.00 120.00
Space group P-6m2 (No. 187)
Unique sites:
Li (0.0000, 0.0000, 0.0000) (multiplicity 1)
As (0.6667, 0.3333, 0.5000) (multiplicity 1)
Cl (0.3333, 0.6667, 0.5000) (multiplicity 1)

---

No. 6
# MgAs3Cl

An optimized crystal structure of MgAs3Cl (PBEsol, Alexandria via LeMat-Bulk).

Values from the calculation:
For the density of states at the Fermi level, the calculation gives 7.44 states/eV per cell. For the mass density, the calculation gives 3.96 g/cm³. The total energy is -15.33 eV per cell. The total moment comes out at 0.001 μB/cell.

abc: 4.9217 4.9217 4.9217
angles: 90.00 90.00 90.00
Space group Pm-3m (No. 221)
Unique sites:
Mg (0.0000, 0.0000, 0.0000) (multiplicity 1)
As (0.0000, 0.0000, 0.5000) (multiplicity 3)
Cl (0.5000, 0.5000, 0.5000) (multiplicity 1)